## a
A plane-wave DFT calculation with PBE was carried out for a relaxed Na3PbCl crystal.

Summary:
magnetic moment = 0.000 μB per cell

The structure in POSCAR format:
```
Na3PbCl
1.0
-3.001 3.453 2.722
-4.233 -3.160 -0.659
1.188 -2.536 4.527
Pb Na Cl
1 3 1
Direct
0.500 0.500 0.500
0.000 0.000 0.500
0.000 0.500 0.000
0.500 0.000 0.000
0.000 0.000 0.000
```

## b
A plane-wave DFT calculation with PBE was carried out for a relaxed Na3PbCl crystal.

Summary:
magnetic moment = 2.000 μB per cell

The structure in POSCAR format:
```
Na3PbCl
1.0
-4.551 -0.400 -3.914
-2.045 -4.872 2.876
-3.361 3.506 3.550
Na Pb Cl
3 1 1
Direct
0.000 0.500 0.000
0.000 0.000 0.500
0.500 0.000 0.000
0.000 0.000 0.000
0.500 0.500 0.500
```

Least stable structure among those shown: b.